# 1
The following is a PBE calculation of Sm2B after structural relaxation, from the Open Quantum Materials Database.

```
Sm2B
1.0
-5.753 1.616 0.605
-2.187 4.581 -3.212
-3.897 -1.042 -4.451
Sm B
4 2
Direct
0.625 0.625 0.125
0.125 0.625 0.625
0.625 0.125 0.625
0.625 0.625 0.625
0.000 0.000 0.000
0.250 0.250 0.250
```

## Properties
The value obtained for the total magnetization is 0.04 μB/cell. Its space-group type is Fd-3m, No. 227. The value obtained for the final energy is -3.770 eV/atom.

# 2
The following is a PBE calculation of LiYZnFe after structural relaxation, from the Open Quantum Materials Database.

```
LiYZnFe
1.0
-2.704 -3.744 -0.314
-0.197 -3.013 3.508
-3.835 -0.308 2.573
Y Li Zn Fe
1 1 1 1
Direct
0.250 0.250 0.250
0.500 0.500 0.500
0.000 0.000 0.000
0.750 0.750 0.750
```

## Properties
The value obtained for the total magnetization is 2.40 μB/cell. The distance to the lowest polymorph of the same formula comes out at 0 meV/atom. Its space-group type is F-43m, No. 216.

# 3
The following is a PBE calculation of HoPaNO after structural relaxation, from the Open Quantum Materials Database.

```
HoPaNO
1.0
3.934 0.000 0.000
0.000 3.934 0.000
0.000 0.000 8.418
O N Pa Ho
2 2 2 2
Direct
0.250 0.750 0.000
0.750 0.250 0.000
0.250 0.250 0.683
0.750 0.750 0.317
0.250 0.250 0.156
0.750 0.750 0.844
0.250 0.750 0.500
0.750 0.250 0.500
```

## Properties
The value obtained for the total magnetization is 2.00 μB/cell. The distance to the lowest polymorph of the same formula comes out at 614 meV/atom. Its space-group type is P4/nmm, No. 129.